This record from Alexandria via LeMat-Bulk describes Ta2BeCu after structural relaxation. The functional is PBE.

Output
M_tot = 0.00 μB per formula unit
total energy = -7.79 eV/atom

The structure in extended XYZ format:
```
4
Lattice="6.271 -0.008 -0.022 -2.505 3.883 0.002 1.260 0.819 2.375" Properties=species:S:1:pos:R:3 pbc="T T T"
Ta 3.765 0.406 1.176
Ta 0.000 0.000 0.000
Cu 1.883 1.938 -0.010
Be -0.623 2.351 1.188
```

=====

This record from Alexandria via LeMat-Bulk describes Mg3Cd8Sn2 after structural relaxation. The functional is PBE.

Output
M_tot = 0.00 μB per formula unit
total energy = -1.49 eV/atom

The structure in extended XYZ format:
```
13
Lattice="5.665 0.000 0.000 2.832 4.906 0.000 2.832 1.635 11.657" Properties=species:S:1:pos:R:3 pbc="T T T"
Mg 8.497 4.906 6.450
Mg 2.832 1.635 5.206
Mg 0.000 0.000 0.000
Cd 5.665 1.643 3.814
Cd 7.075 2.457 7.843
Cd 4.255 2.457 7.843
Cd 7.075 4.085 3.814
Cd 2.832 1.635 2.189
Cd 5.665 4.899 7.843
Cd 4.255 4.085 3.814
Cd 8.497 4.906 9.467
Sn 5.665 3.271 10.909
Sn 5.665 3.271 0.748
```

=====

This record from Alexandria via LeMat-Bulk describes LaTi3Bi after structural relaxation. The functional is PBE.

Output
M_tot = 1.01 μB per formula unit
total energy = -5.68 eV/atom

The structure in extended XYZ format:
```
5
Lattice="-0.304 -4.006 -3.348 4.848 1.028 -1.671 1.938 -3.201 3.653" Properties=species:S:1:pos:R:3 pbc="T T T"
La 3.241 -3.089 -0.683
Ti 0.969 -1.601 1.827
Ti -0.152 -2.003 -1.674
Ti 2.424 0.514 -0.835
Bi 0.000 0.000 0.000
```